# PBE Ho3Co3Ni, optimized geometry
data_Ho3Co3Ni
_chemical_formula_sum 'Ho12 Co12 Ni4'
_symmetry_space_group_name_H-M 'C m c m'
_symmetry_Int_Tables_number 63
_symmetry_space_group_name_Hall '-C 2c 2'
_cell_length_a 4.154
_cell_length_b 9.778
_cell_length_c 12.342
_cell_angle_alpha 90.00
_cell_angle_beta 90.00
_cell_angle_gamma 90.00
loop_
_atom_site_label
_atom_site_fract_x
_atom_site_fract_y
_atom_site_fract_z
Ho1 0.000 0.012 0.250
Ho2 0.000 0.278 0.603
Co1 0.000 0.313 0.250
Co2 0.000 0.431 0.088
Ni1 0.000 0.000 0.000
# Formation energy, eV/f.u.: -1.80
# Total magnetic moment, μB per atom: 0.273

---

# PBE Ho8Co2Ni, optimized geometry
data_Ho8Co2Ni
_chemical_formula_sum 'Ho16 Co4 Ni2'
_symmetry_space_group_name_H-M 'C 1 2/m 1'
_symmetry_Int_Tables_number 12
_cell_length_a 16.933
_cell_length_b 4.895
_cell_length_c 6.600
_cell_angle_alpha 90.00
_cell_angle_beta 106.42
_cell_angle_gamma 90.00
loop_
_symmetry_equiv_pos_as_xyz
'x,y,z'
'-x,-y,-z'
'-x,y,-z'
'x,-y,z'
'x+1/2,y+1/2,z'
'-x+1/2,-y+1/2,-z'
'-x+1/2,y+1/2,-z'
'x+1/2,-y+1/2,z'
loop_
_atom_site_label
_atom_site_fract_x
_atom_site_fract_y
_atom_site_fract_z
Ho1 0.036 0.000 0.290
Ho2 0.094 0.500 0.954
Ho3 0.171 0.500 0.475
Ho4 0.202 0.000 0.824
Co1 0.189 0.000 0.213
Ni1 0.000 0.500 0.500
# Offset from the most stable computed form, meV per atom: 0
# Formation energy, eV/f.u.: -1.52
# Total magnetic moment, μB per atom: 0.000

---

# PBE Ho6Co2Ni, optimized geometry
data_Ho6Co2Ni
_chemical_formula_sum 'Ho24 Co8 Ni4'
_symmetry_space_group_name_H-M 'I m m m'
_symmetry_Int_Tables_number 71
_symmetry_space_group_name_Hall '-I 2 2'
_cell_length_a 9.230
_cell_length_b 9.319
_cell_length_c 9.550
_cell_angle_alpha 90.00
_cell_angle_beta 90.00
_cell_angle_gamma 90.00
loop_
_atom_site_label
_atom_site_fract_x
_atom_site_fract_y
_atom_site_fract_z
Ho1 0.000 0.185 0.174
Ho2 0.177 0.232 0.500
Ho3 0.185 0.500 0.250
Co1 0.000 0.000 0.385
Co2 0.172 0.000 0.000
Ni1 0.000 0.500 0.000
Ni2 0.000 0.500 0.500
# Offset from the most stable computed form, meV per atom: 0
# Formation energy, eV/f.u.: -1.88
# Total magnetic moment, μB per atom: 0.000